(P)
Compound: YNi3Pb
Source: Alexandria via LeMat-Bulk
Functional: GGA-PBE
Structure: optimized geometry

```
YNi3Pb
1.0
4.752 0.000 0.000
0.000 4.752 0.000
0.000 0.000 4.752
Y Ni Pb
1 3 1
direct
0.000 0.000 0.000
0.000 0.500 0.500
0.500 0.000 0.500
0.500 0.500 0.000
0.500 0.500 0.500
```

Properties
Symmetry: Pm-3m



(Q)
Compound: YNi3Pb
Source: Alexandria via LeMat-Bulk
Functional: GGA-PBE
Structure: optimized geometry

```
YNi3Pb
1.0
4.821 0.000 0.000
0.000 4.821 0.000
0.000 0.000 4.821
Y Ni Pb
1 3 1
direct
0.000 0.000 0.000
0.000 0.000 0.500
0.000 0.500 0.000
0.500 0.000 0.000
0.500 0.500 0.500
```

Properties
Symmetry: Pm-3m



It comes down to (P), which is 0.443 eV/atom more stable than the next structure.



(P)
Compound: YNiPb3
Source: Alexandria via LeMat-Bulk
Functional: GGA-PBE
Structure: optimized geometry

```
YNiPb3
1.0
5.174 0.000 0.000
0.000 5.174 0.000
0.000 0.000 5.174
Y Ni Pb
1 1 3
direct
0.000 0.000 0.000
0.500 0.500 0.500
0.000 0.500 0.500
0.500 0.000 0.500
0.500 0.500 0.000
```

Properties
Symmetry: Pm-3m



(Q)
Compound: YNiPb3
Source: Alexandria via LeMat-Bulk
Functional: GGA-PBE
Structure: optimized geometry

```
YNiPb3
1.0
5.845 0.000 0.000
0.000 5.845 0.000
0.000 0.000 5.845
Y Ni Pb
1 1 3
direct
0.000 0.000 0.000
0.500 0.500 0.500
0.000 0.000 0.500
0.000 0.500 0.000
0.500 0.000 0.000
```

Properties
Symmetry: Pm-3m



It comes down to (P), which is 1.001 eV/atom more stable than the next structure.